Entry from the Alexandria database: a relaxed InHg2Ru crystal (PBE-GGA).

Properties
As for the calculated total energy: -11.85 eV per cell. Its total magnetic moment is 0.3 μB per formula unit.

```
InHg2Ru
1.0
-1.5168 2.2495 6.5258
1.5168 -2.2495 6.5258
1.5168 2.2495 -6.5258
In Hg Ru
1 2 1
direct
0.0000 0.0000 0.0000
0.3157 0.8157 0.5000
0.6843 0.1843 0.5000
0.5000 0.5000 0.0000
```